# 1
A plane-wave DFT calculation with PBE was carried out for crystalline Li3Ac2AgPd12 at its relaxed geometry.

```
Li3Ac2AgPd12
1.0
3.199 1.847 9.794
-3.199 1.847 9.794
0.000 -3.694 9.794
Li Ac Ag Pd
3 2 1 12
Cartesian
-1.599 -0.923 9.794 Li
-1.599 0.923 19.588 Li
0.000 1.847 9.794 Li
0.000 0.000 3.911 Ac
0.000 0.000 25.471 Ac
0.000 0.000 14.691 Ag
-1.787 -1.032 12.961 Pd
0.000 -2.143 8.543 Pd
-1.856 1.071 8.543 Pd
-1.856 -1.071 20.839 Pd
0.000 -2.064 16.421 Pd
-1.787 1.032 16.421 Pd
1.787 -1.032 12.961 Pd
0.000 2.064 12.961 Pd
1.856 1.071 8.543 Pd
1.856 -1.071 20.840 Pd
0.000 2.143 20.840 Pd
1.787 1.032 16.421 Pd
```

Summary:
ΔH_f (0 K) = -250 meV/atom
theoretical density = 8.9 g/cm³
total moment = 0.000 μB/cell
SG = R-3m
DOS at the Fermi energy = 11.83 states/eV per cell

---

# 2
A plane-wave DFT calculation with PBE was carried out for crystalline DyYTlPd at its relaxed geometry.

```
DyYTlPd
1.0
7.326 0.000 0.000
0.000 7.326 0.000
0.000 0.000 7.326
Dy Y Tl Pd
4 4 4 4
Cartesian
0.000 0.000 0.000 Dy
0.000 3.663 3.663 Dy
3.663 0.000 3.663 Dy
3.663 3.663 0.000 Dy
0.000 0.000 3.663 Y
0.000 3.663 0.000 Y
3.663 0.000 0.000 Y
3.663 3.663 3.663 Y
1.832 1.832 5.495 Tl
1.832 5.495 1.832 Tl
5.495 1.832 1.832 Tl
5.495 5.495 5.495 Tl
1.832 1.832 1.832 Pd
1.832 5.495 5.495 Pd
5.495 1.832 5.495 Pd
5.495 5.495 1.832 Pd
```

Summary:
ΔH_f (0 K) = -556 meV/atom
theoretical density = 9.5 g/cm³
total moment = 0.000 μB/cell
SG = F-43m
DOS at the Fermi energy = 14.85 states/eV per cell

---

# 3
A plane-wave DFT calculation with PBE was carried out for crystalline GaAgPtPb2 at its relaxed geometry.

```
GaAgPtPb2
1.0
3.342 0.000 0.000
0.000 3.342 0.000
0.000 0.000 19.772
Ga Ag Pt Pb
2 2 2 4
Cartesian
0.000 0.000 0.000 Ga
1.671 1.671 9.886 Ga
0.000 0.000 8.193 Ag
1.671 1.671 18.079 Ag
0.000 0.000 11.077 Pt
1.671 1.671 1.190 Pt
0.000 0.000 3.193 Pb
0.000 0.000 16.036 Pb
1.671 1.671 6.149 Pb
1.671 1.671 13.080 Pb
```

Summary:
ΔH_f (0 K) = -127 meV/atom
theoretical density = 11.8 g/cm³
offset from the most stable computed form = 3.4 kJ/mol of atoms
total moment = 0.000 μB/cell
SG = I4mm
DOS at the Fermi energy = 5.31 states/eV per cell

---

# 4
A plane-wave DFT calculation with PBE was carried out for crystalline Ca2ZrBr at its relaxed geometry.

```
Ca2ZrBr
1.0
4.586 0.000 0.000
0.000 4.586 0.000
0.000 0.000 11.866
Ca Zr Br
4 2 2
Cartesian
0.000 0.000 0.000 Ca
0.000 2.293 2.966 Ca
2.293 0.000 8.899 Ca
2.293 2.293 5.933 Ca
0.000 2.293 8.899 Zr
2.293 0.000 2.966 Zr
0.000 0.000 5.933 Br
2.293 2.293 0.000 Br
```

Summary:
theoretical density = 3.3 g/cm³
offset from the most stable computed form = 55.6 kJ/mol of atoms
formation energy from raw total energies = 102 meV/atom
total moment = 5.565 μB/cell
SG = I-4m2
DOS at the Fermi energy = 9.12 states/eV per cell

---

# 5
A plane-wave DFT calculation with PBE was carried out for crystalline ScNiOs2 at its relaxed geometry.

```
ScNiOs2
1.0
2.816 0.000 0.000
0.000 4.322 0.000
0.000 0.000 9.833
Sc Ni Os
2 2 4
Cartesian
0.000 0.000 0.000 Sc
1.408 2.161 4.917 Sc
0.000 0.000 4.917 Ni
1.408 2.161 0.000 Ni
0.000 2.161 2.112 Os
0.000 2.161 7.721 Os
1.408 0.000 2.804 Os
1.408 0.000 7.029 Os
```

Summary:
ΔH_f (0 K) = -12 meV/atom
theoretical density = 13.4 g/cm³
offset from the most stable computed form = 7.2 kJ/mol of atoms
total moment = 0.000 μB/cell
SG = Immm
DOS at the Fermi energy = 8.32 states/eV per cell

---

# 6
A plane-wave DFT calculation with PBE was carried out for crystalline Ce2In3Hg4 at its relaxed geometry.

```
Ce2In3Hg4
1.0
3.202 -8.345 0.000
3.202 8.345 0.000
0.000 0.000 8.846
Ce In Hg
4 6 8
Cartesian
3.202 6.455 8.134 Ce
3.202 1.890 3.711 Ce
3.202 -1.890 5.135 Ce
3.202 -6.455 0.712 Ce
0.000 0.000 4.423 In
1.601 3.633 6.634 In
1.601 -3.633 2.211 In
3.202 0.000 0.000 In
4.803 3.633 6.634 In
4.803 -3.633 2.211 In
3.202 5.386 4.817 Hg
1.601 0.749 6.634 Hg
1.601 -0.749 2.211 Hg
3.202 2.959 0.395 Hg
3.202 -2.959 8.451 Hg
4.803 0.749 6.634 Hg
4.803 -0.749 2.211 Hg
3.202 -5.386 4.028 Hg
```

Summary:
ΔH_f (0 K) = -203 meV/atom
theoretical density = 10.0 g/cm³
total moment = 4.879 μB/cell
SG = Cmce
DOS at the Fermi energy = 38.16 states/eV per cell

---

# 7
A plane-wave DFT calculation with PBE was carried out for crystalline BaSiW2 at its relaxed geometry.

```
BaSiW2
1.0
9.104 0.000 0.000
0.000 3.309 0.000
-0.908 0.000 6.128
Ba Si W
2 2 4
Cartesian
0.000 0.000 0.000 Ba
4.552 1.654 0.000 Ba
-0.454 1.654 3.064 Si
4.098 0.000 3.064 Si
1.474 0.000 3.906 W
2.169 1.654 2.221 W
6.026 1.654 3.906 W
6.721 0.000 2.221 W
```

Summary:
theoretical density = 9.6 g/cm³
offset from the most stable computed form = 28.1 kJ/mol of atoms
formation energy from raw total energies = 707 meV/atom
total moment = 0.000 μB/cell
SG = C2/m
DOS at the Fermi energy = 6.65 states/eV per cell

---

# 8
A plane-wave DFT calculation with PBE was carried out for crystalline NdZnAg2 at its relaxed geometry.

```
NdZnAg2
1.0
3.398 0.000 0.000
0.000 3.398 0.000
0.000 0.000 7.284
Nd Zn Ag
1 1 2
Cartesian
0.000 0.000 0.000 Nd
0.000 0.000 3.642 Zn
1.699 1.699 2.187 Ag
1.699 1.699 5.097 Ag
```

Summary:
ΔH_f (0 K) = -123 meV/atom
theoretical density = 8.4 g/cm³
total moment = 0.001 μB/cell
SG = P4/mmm
DOS at the Fermi energy = 2.42 states/eV per cell

---

# 9
A plane-wave DFT calculation with PBE was carried out for crystalline RbRe2Au at its relaxed geometry.

```
RbRe2Au
1.0
4.553 0.000 0.000
0.000 4.553 0.000
0.000 0.000 20.024
Rb Re Au
4 8 4
Cartesian
0.000 0.000 0.000 Rb
0.000 2.277 5.006 Rb
2.277 0.000 15.018 Rb
2.277 2.277 10.012 Rb
0.349 3.415 12.515 Re
1.138 0.349 7.509 Re
1.138 1.927 17.521 Re
1.927 3.415 2.503 Re
2.626 1.138 2.503 Re
3.415 2.626 17.521 Re
3.415 4.204 7.509 Re
4.204 1.138 12.515 Re
0.000 0.000 10.012 Au
0.000 2.277 15.018 Au
2.277 0.000 5.006 Au
2.277 2.277 0.000 Au
```

Summary:
ΔH_f (0 K) = 1528 meV/atom
theoretical density = 10.5 g/cm³
offset from the most stable computed form = 0.0 kJ/mol of atoms
total moment = 0.001 μB/cell
SG = I-42d
DOS at the Fermi energy = 15.43 states/eV per cell

---

# 10
A plane-wave DFT calculation with PBE was carried out for crystalline CeDyCuPt at its relaxed geometry.

```
CeDyCuPt
1.0
7.051 0.000 0.000
0.000 7.051 0.000
0.000 0.000 7.051
Ce Dy Cu Pt
4 4 4 4
Cartesian
0.000 0.000 0.000 Ce
0.000 3.525 3.525 Ce
3.525 0.000 3.525 Ce
3.525 3.525 0.000 Ce
0.000 0.000 3.525 Dy
0.000 3.525 0.000 Dy
3.525 0.000 0.000 Dy
3.525 3.525 3.525 Dy
1.763 1.763 5.288 Cu
1.763 5.288 1.763 Cu
5.288 1.763 1.763 Cu
5.288 5.288 5.288 Cu
1.763 1.763 1.763 Pt
1.763 5.288 5.288 Pt
5.288 1.763 5.288 Pt
5.288 5.288 1.763 Pt
```

Summary:
ΔH_f (0 K) = -630 meV/atom
theoretical density = 10.6 g/cm³
offset from the most stable computed form = 5.2 kJ/mol of atoms
total moment = 3.088 μB/cell
SG = F-43m
DOS at the Fermi energy = 27.06 states/eV per cell

---

# 11
A plane-wave DFT calculation with PBE was carried out for crystalline Ca2InSO at its relaxed geometry.

```
Ca2InSO
1.0
4.563 0.000 0.000
0.000 4.563 0.000
0.000 0.000 5.323
Ca In S O
2 1 1 1
Cartesian
0.000 2.282 0.000 Ca
2.282 0.000 0.000 Ca
0.000 0.000 2.661 In
2.282 2.282 2.661 S
2.282 2.282 0.000 O
```

Summary:
theoretical density = 3.6 g/cm³
formation energy from raw total energies = -1128 meV/atom
total moment = 0.000 μB/cell
SG = P4/mmm
DOS at the Fermi energy = 1.71 states/eV per cell

---

# 12
A plane-wave DFT calculation with PBE was carried out for crystalline Nd2As3Pd4Au at its relaxed geometry.

```
Nd2As3Pd4Au
1.0
4.302 0.000 0.000
0.000 4.302 0.000
0.000 0.000 10.724
Nd As Pd Au
2 3 4 1
Cartesian
0.000 2.151 2.601 Nd
2.151 0.000 8.123 Nd
0.000 2.151 9.325 As
2.151 0.000 1.399 As
2.151 2.151 5.362 As
0.000 0.000 0.000 Pd
0.000 2.151 6.925 Pd
2.151 0.000 3.799 Pd
2.151 2.151 0.000 Pd
0.000 0.000 5.362 Au
```

Summary:
ΔH_f (0 K) = -779 meV/atom
theoretical density = 9.5 g/cm³
total moment = 0.000 μB/cell
SG = P-4m2
DOS at the Fermi energy = 5.92 states/eV per cell

---

# 13
A plane-wave DFT calculation with PBE was carried out for crystalline AcPm5Ge4 at its relaxed geometry.

```
AcPm5Ge4
1.0
3.865 0.000 0.000
0.000 3.865 0.000
0.000 0.000 18.135
Ac Pm Ge
1 5 4
Cartesian
0.000 0.000 0.000 Ac
1.932 1.932 2.599 Pm
1.932 1.932 5.762 Pm
1.932 1.932 9.068 Pm
1.932 1.932 12.374 Pm
1.932 1.932 15.537 Pm
0.000 0.000 4.052 Ge
0.000 0.000 7.415 Ge
0.000 0.000 10.721 Ge
0.000 0.000 14.083 Ge
```

Summary:
ΔH_f (0 K) = -492 meV/atom
theoretical density = 7.6 g/cm³
total moment = 0.290 μB/cell
SG = P4/mmm
DOS at the Fermi energy = 12.25 states/eV per cell

---

# 14
A plane-wave DFT calculation with PBE was carried out for crystalline Ag4SbSe4 at its relaxed geometry.

```
Ag4SbSe4
1.0
-3.071 3.071 6.415
3.071 -3.071 6.415
3.071 3.071 -6.415
Ag Sb Se
4 1 4
Cartesian
3.071 0.000 0.000 Ag
0.000 0.000 3.014 Ag
0.000 3.071 0.000 Ag
0.000 0.000 9.816 Ag
0.000 0.000 0.000 Sb
1.439 -1.439 4.770 Se
1.632 1.632 1.645 Se
-1.439 1.439 4.770 Se
1.439 1.439 8.060 Se
```

Summary:
theoretical density = 6.0 g/cm³
offset from the most stable computed form = 7.7 kJ/mol of atoms
formation energy from raw total energies = 1 meV/atom
total moment = 0.000 μB/cell
SG = I-42m
DOS at the Fermi energy = 7.26 states/eV per cell